Entry 1:
First-principles (GGA-PBEsol) data for a geometry-optimized Ca2IrRh structure, as listed in the Alexandria database.

Output
Space group: Cmmm (65)
Size of the total moment in μB per formula unit: 0.0
Energy relative to the elements in meV per atom: -57
Fermi-level density of states in states/eV/f.u.: 2.7
Final energy in eV/cell: -22.5

The structure in CIF format:
```
data_Ca2IrRh
_chemical_formula_sum 'Ca2 Ir1 Rh1'
_cell_length_a 3.095
_cell_length_b 4.983
_cell_length_c 4.983
_cell_angle_alpha 103.18
_cell_angle_beta 90.00
_cell_angle_gamma 90.00
_symmetry_space_group_name_H-M 'P 1'
_symmetry_Int_Tables_number 1
loop_
_symmetry_equiv_pos_as_xyz
'x,y,z'
loop_
_atom_site_label
_atom_site_fract_x
_atom_site_fract_y
_atom_site_fract_z
_atom_site_occupancy
Ca1 0.000 0.000 0.500 1
Ca2 0.000 0.500 0.000 1
Ir1 0.500 0.500 0.500 1
Rh1 0.500 0.000 0.000 1
```



Entry 2:
First-principles (GGA-PBEsol) data for a geometry-optimized CaIrRh2S structure, as listed in the Alexandria database.

Output
Space group: P4/mmm (123)
Size of the total moment in μB per formula unit: 0.0
Energy relative to the elements, uncorrected in eV per atom: 0.78
Fermi-level density of states in states/eV/f.u.: 3.9
Final energy in eV/cell: -28.7

The structure in CIF format:
```
data_CaIrRh2S
_chemical_formula_sum 'Ca1 Ir1 Rh2 S1'
_cell_length_a 4.586
_cell_length_b 4.586
_cell_length_c 5.470
_cell_angle_alpha 90.00
_cell_angle_beta 90.00
_cell_angle_gamma 90.00
_symmetry_space_group_name_H-M 'P 1'
_symmetry_Int_Tables_number 1
loop_
_symmetry_equiv_pos_as_xyz
'x,y,z'
loop_
_atom_site_label
_atom_site_fract_x
_atom_site_fract_y
_atom_site_fract_z
_atom_site_occupancy
Ca1 0.000 0.000 0.500 1
Ir1 0.000 0.000 0.000 1
Rh1 0.000 0.500 0.000 1
Rh2 0.500 0.000 0.000 1
S1 0.500 0.500 0.500 1
```



Entry 3:
First-principles (GGA-PBEsol) data for a geometry-optimized Ca2IrRu structure, as listed in the Alexandria database.

Output
Space group: R-3m (166)
Size of the total moment in μB per formula unit: 0.0
Energy relative to the elements in meV per atom: 427
Fermi-level density of states in states/eV/f.u.: 3.6
Final energy in eV/cell: -22.6

The structure in CIF format:
```
data_Ca2IrRu
_chemical_formula_sum 'Ca2 Ir1 Ru1'
_cell_length_a 3.078
_cell_length_b 3.078
_cell_length_c 9.133
_cell_angle_alpha 80.30
_cell_angle_beta 80.30
_cell_angle_gamma 60.00
_symmetry_space_group_name_H-M 'P 1'
_symmetry_Int_Tables_number 1
loop_
_symmetry_equiv_pos_as_xyz
'x,y,z'
loop_
_atom_site_label
_atom_site_fract_x
_atom_site_fract_y
_atom_site_fract_z
_atom_site_occupancy
Ru1 0.000 0.000 0.000 1
Ca1 0.251 0.251 0.248 1
Ca2 0.749 0.749 0.752 1
Ir1 0.500 0.500 0.500 1
```



Entry 4:
First-principles (GGA-PBEsol) data for a geometry-optimized CaIrRu2 structure, as listed in the Alexandria database.

Output
Space group: P2/m (10)
Size of the total moment in μB per formula unit: 0.0
Energy relative to the elements in meV per atom: 459
Fermi-level density of states in states/eV/f.u.: 5.9
Final energy in eV/cell: -30.5

The structure in CIF format:
```
data_CaIrRu2
_chemical_formula_sum 'Ca1 Ir1 Ru2'
_cell_length_a 2.777
_cell_length_b 4.554
_cell_length_c 5.100
_cell_angle_alpha 90.00
_cell_angle_beta 99.06
_cell_angle_gamma 90.00
_symmetry_space_group_name_H-M 'P 1'
_symmetry_Int_Tables_number 1
loop_
_symmetry_equiv_pos_as_xyz
'x,y,z'
loop_
_atom_site_label
_atom_site_fract_x
_atom_site_fract_y
_atom_site_fract_z
_atom_site_occupancy
Ru1 0.811 0.000 0.717 1
Ru2 0.189 0.000 0.283 1
Ca1 0.500 0.500 0.000 1
Ir1 0.000 0.500 0.500 1
```



Entry 5:
First-principles (GGA-PBEsol) data for a geometry-optimized CaIrRu2 structure, as listed in the Alexandria database.

Output
Space group: P4mm (99)
Size of the total moment in μB per formula unit: 0.0
Energy relative to the elements in meV per atom: 208
Fermi-level density of states in states/eV/f.u.: 3.6
Final energy in eV/cell: -31.5

The structure in CIF format:
```
data_CaIrRu2
_chemical_formula_sum 'Ca1 Ir1 Ru2'
_cell_length_a 2.791
_cell_length_b 2.791
_cell_length_c 8.121
_cell_angle_alpha 90.00
_cell_angle_beta 90.00
_cell_angle_gamma 90.00
_symmetry_space_group_name_H-M 'P 1'
_symmetry_Int_Tables_number 1
loop_
_symmetry_equiv_pos_as_xyz
'x,y,z'
loop_
_atom_site_label
_atom_site_fract_x
_atom_site_fract_y
_atom_site_fract_z
_atom_site_occupancy
Ru1 0.000 0.000 0.004 1
Ru2 0.500 0.500 0.210 1
Ca1 0.000 0.000 0.501 1
Ir1 0.500 0.500 0.785 1
```



Entry 6:
First-principles (GGA-PBEsol) data for a geometry-optimized Ca2IrRu structure, as listed in the Alexandria database.

Output
Space group: Imm2 (44)
Size of the total moment in μB per formula unit: 0.0
Energy relative to the elements in meV per atom: 145
Fermi-level density of states in states/eV/f.u.: 4.2
Final energy in eV/cell: -23.7

The structure in CIF format:
```
data_Ca2IrRu
_chemical_formula_sum 'Ca2 Ir1 Ru1'
_cell_length_a 3.054
_cell_length_b 4.893
_cell_length_c 5.977
_cell_angle_alpha 114.16
_cell_angle_beta 104.80
_cell_angle_gamma 90.00
_symmetry_space_group_name_H-M 'P 1'
_symmetry_Int_Tables_number 1
loop_
_symmetry_equiv_pos_as_xyz
'x,y,z'
loop_
_atom_site_label
_atom_site_fract_x
_atom_site_fract_y
_atom_site_fract_z
_atom_site_occupancy
Ru1 0.221 0.221 0.442 1
Ca1 0.983 0.483 0.966 1
Ca2 0.771 0.771 0.541 1
Ir1 0.525 0.025 0.051 1
```



Entry 7:
First-principles (GGA-PBEsol) data for a geometry-optimized Ca2IrRu structure, as listed in the Alexandria database.

Output
Space group: P4mm (99)
Size of the total moment in μB per formula unit: 0.0
Energy relative to the elements in meV per atom: 202
Fermi-level density of states in states/eV/f.u.: 4.5
Final energy in eV/cell: -23.5

The structure in CIF format:
```
data_Ca2IrRu
_chemical_formula_sum 'Ca2 Ir1 Ru1'
_cell_length_a 3.396
_cell_length_b 3.396
_cell_length_c 8.264
_cell_angle_alpha 90.00
_cell_angle_beta 90.00
_cell_angle_gamma 90.00
_symmetry_space_group_name_H-M 'P 1'
_symmetry_Int_Tables_number 1
loop_
_symmetry_equiv_pos_as_xyz
'x,y,z'
loop_
_atom_site_label
_atom_site_fract_x
_atom_site_fract_y
_atom_site_fract_z
_atom_site_occupancy
Ru1 0.500 0.500 0.670 1
Ca1 0.000 0.000 0.927 1
Ca2 0.500 0.500 0.327 1
Ir1 0.000 0.000 0.576 1
```



Entry 8:
First-principles (GGA-PBEsol) data for a geometry-optimized Ca2TcIrRu structure, as listed in the Alexandria database.

Output
Space group: P4/mmm (123)
Size of the total moment in μB per formula unit: 2.9
Energy relative to the elements in meV per atom: 1254
Fermi-level density of states in states/eV/f.u.: 9.6
Final energy in eV/cell: -29.3

The structure in CIF format:
```
data_Ca2TcIrRu
_chemical_formula_sum 'Ca2 Tc1 Ir1 Ru1'
_cell_length_a 4.587
_cell_length_b 5.219
_cell_length_c 5.219
_cell_angle_alpha 90.00
_cell_angle_beta 90.00
_cell_angle_gamma 90.00
_symmetry_space_group_name_H-M 'P 1'
_symmetry_Int_Tables_number 1
loop_
_symmetry_equiv_pos_as_xyz
'x,y,z'
loop_
_atom_site_label
_atom_site_fract_x
_atom_site_fract_y
_atom_site_fract_z
_atom_site_occupancy
Ru1 0.500 0.500 0.500 1
Ca1 0.000 0.000 0.500 1
Ca2 0.000 0.500 0.000 1
Ir1 0.000 0.000 0.000 1
Tc1 0.500 0.000 0.000 1
```